Material: PrDy2Cd2Hg2
Method: DFT, PBE-GGA
State: optimized geometry

```
data_PrDy2Cd2Hg2
_chemical_formula_sum 'Pr3 Dy6 Cd6 Hg6'
_cell_length_a 4.9737
_cell_length_b 4.9737
_cell_length_c 26.7317
_cell_angle_alpha 90.00
_cell_angle_beta 90.00
_cell_angle_gamma 120.00
_symmetry_space_group_name_H-M 'R -3 m'
_symmetry_Int_Tables_number 166
_symmetry_space_group_name_Hall '-R 3 2"'
loop_
_atom_site_label
_atom_site_type_symbol
_atom_site_fract_x
_atom_site_fract_y
_atom_site_fract_z
Pr1 Pr 0.0000 0.0000 0.0000
Dy1 Dy 0.0000 0.0000 0.1262
Cd1 Cd 0.0000 0.0000 0.2549
Hg1 Hg 0.0000 0.0000 0.4035
```

***

Material: DyCdHgPt
Method: DFT, PBE-GGA
State: optimized geometry

```
data_DyCdHgPt
_chemical_formula_sum 'Dy4 Cd4 Hg4 Pt4'
_cell_length_a 6.983
_cell_length_b 6.983
_cell_length_c 6.983
_cell_angle_alpha 90.00
_cell_angle_beta 90.00
_cell_angle_gamma 90.00
_symmetry_space_group_name_H-M 'F -4 3 m'
_symmetry_Int_Tables_number 216
_symmetry_space_group_name_Hall 'F -4 2 3'
loop_
_atom_site_label
_atom_site_type_symbol
_atom_site_fract_x
_atom_site_fract_y
_atom_site_fract_z
Dy1 Dy 0.000 0.000 0.000
Cd1 Cd 0.000 0.000 0.500
Hg1 Hg 0.250 0.250 0.750
Pt1 Pt 0.250 0.250 0.250
```

***

Material: DyPuCdHg
Method: DFT, PBE-GGA
State: optimized geometry

```
data_DyPuCdHg
_chemical_formula_sum 'Dy4 Pu4 Cd4 Hg4'
_cell_length_a 7.512
_cell_length_b 7.512
_cell_length_c 7.512
_cell_angle_alpha 90.00
_cell_angle_beta 90.00
_cell_angle_gamma 90.00
_symmetry_space_group_name_H-M 'F -4 3 m'
_symmetry_Int_Tables_number 216
_symmetry_space_group_name_Hall 'F -4 2 3'
loop_
_atom_site_label
_atom_site_type_symbol
_atom_site_fract_x
_atom_site_fract_y
_atom_site_fract_z
Dy1 Dy 0.000 0.000 0.000
Pu1 Pu 0.000 0.000 0.500
Cd1 Cd 0.250 0.250 0.250
Hg1 Hg 0.250 0.250 0.750
```

***

Material: DyCdHgRh
Method: DFT, PBE-GGA
State: optimized geometry

```
data_DyCdHgRh
_chemical_formula_sum 'Dy4 Cd4 Hg4 Rh4'
_cell_length_a 6.928
_cell_length_b 6.928
_cell_length_c 6.928
_cell_angle_alpha 90.00
_cell_angle_beta 90.00
_cell_angle_gamma 90.00
_symmetry_space_group_name_H-M 'F -4 3 m'
_symmetry_Int_Tables_number 216
_symmetry_space_group_name_Hall 'F -4 2 3'
loop_
_atom_site_label
_atom_site_type_symbol
_atom_site_fract_x
_atom_site_fract_y
_atom_site_fract_z
Dy1 Dy 0.000 0.000 0.000
Cd1 Cd 0.000 0.000 0.500
Hg1 Hg 0.250 0.250 0.750
Rh1 Rh 0.250 0.250 0.250
```

***

Material: Dy4CdHg2Rh
Method: DFT, PBE-GGA
State: optimized geometry

```
data_Dy4CdHg2Rh
_chemical_formula_sum 'Dy12 Cd3 Hg6 Rh3'
_cell_length_a 5.1836
_cell_length_b 5.1836
_cell_length_c 25.0606
_cell_angle_alpha 90.00
_cell_angle_beta 90.00
_cell_angle_gamma 120.00
_symmetry_space_group_name_H-M 'R -3 m'
_symmetry_Int_Tables_number 166
_symmetry_space_group_name_Hall '-R 3 2"'
loop_
_atom_site_label
_atom_site_type_symbol
_atom_site_fract_x
_atom_site_fract_y
_atom_site_fract_z
Dy1 Dy 0.0000 0.0000 0.1138
Dy2 Dy 0.0000 0.0000 0.3681
Cd1 Cd 0.0000 0.0000 0.5000
Hg1 Hg 0.0000 0.0000 0.2394
Rh1 Rh 0.0000 0.0000 0.0000
```

***

Material: Dy4CdHg2Ru
Method: DFT, PBE-GGA
State: optimized geometry

```
data_Dy4CdHg2Ru
_chemical_formula_sum 'Dy12 Cd3 Hg6 Ru3'
_cell_length_a 5.1731
_cell_length_b 5.1731
_cell_length_c 25.0570
_cell_angle_alpha 90.00
_cell_angle_beta 90.00
_cell_angle_gamma 120.00
_symmetry_space_group_name_H-M 'R -3 m'
_symmetry_Int_Tables_number 166
_symmetry_space_group_name_Hall '-R 3 2"'
loop_
_atom_site_label
_atom_site_type_symbol
_atom_site_fract_x
_atom_site_fract_y
_atom_site_fract_z
Dy1 Dy 0.0000 0.0000 0.1132
Dy2 Dy 0.0000 0.0000 0.3671
Cd1 Cd 0.0000 0.0000 0.5000
Hg1 Hg 0.0000 0.0000 0.2401
Ru1 Ru 0.0000 0.0000 0.0000
```

***

Computed theoretical density, in the same sequence as the records: 9.50; 13.08; 11.27; 11.55; 10.82; 10.85 g/cm3.
Computed total energy, in the same sequence as the records: -54.674; -56.791; -83.514; -58.486; -94.870; -97.952 eV for the cell shown.